# 1
Crystalline CsPt2Pb8 at its relaxed geometry. Source: the Alexandria database, functional PBE.

Calculated values
Theoretical density (g/cm³): 10.51
Final energy (eV per cell): -43.20
Formation energy from the elements (eV per formula unit): -0.60

Geometry as POSCAR:
```
CsPt2Pb8
1.0
-0.4599 5.2200 -2.3511
-4.6573 -3.6600 -5.3713
-4.4546 1.6715 6.4264
Pb Pt Cs
8 2 1
Direct
0.8743 0.9212 0.6418
0.1257 0.0788 0.3582
0.8743 0.6418 0.9212
0.2677 0.6123 0.6123
0.1257 0.3582 0.0788
0.5000 0.7238 0.2762
0.7323 0.3877 0.3877
0.5000 0.2762 0.7238
0.0000 0.6869 0.3131
0.0000 0.3131 0.6869
0.5000 0.0000 0.0000
```

---

# 2
Crystalline CsPtPb3 at its relaxed geometry. Source: the Alexandria database, functional PBE.

Calculated values
Theoretical density (g/cm³): 8.82
Final energy (eV per cell): -17.46
Formation energy from the elements (eV per formula unit): 0.56
Energy relative to the lowest polymorph listed for this composition (eV per atom): 0.363

Geometry as POSCAR:
```
CsPtPb3
1.0
5.6338 0.0000 0.0000
0.0000 5.6338 0.0000
0.0000 0.0000 5.6338
Pt Cs Pb
1 1 3
Direct
0.0000 0.0000 0.0000
0.5000 0.5000 0.5000
0.0000 0.0000 0.5000
0.5000 0.0000 0.0000
0.0000 0.5000 0.0000
```

---

# 3
Crystalline CsPtPb6 at its relaxed geometry. Source: the Alexandria database, functional PBE.

Calculated values
Theoretical density (g/cm³): 9.61
Final energy (eV per cell): -29.95
Formation energy from the elements (eV per formula unit): -0.80

Geometry as POSCAR:
```
CsPtPb6
1.0
-1.3769 3.5138 -3.2833
-3.5609 -3.0403 -1.7604
-7.0133 4.0202 7.2436
Pb Pt Cs
6 1 1
Direct
0.5000 0.0000 0.3474
0.0000 0.5000 0.6526
0.5000 0.5000 0.1611
0.5000 0.5000 0.8389
0.0000 0.5000 0.3474
0.5000 0.0000 0.6526
0.0000 0.0000 0.5000
0.0000 0.0000 0.0000
```

---

So what do the calculations give for D(E_F)? Going down the list: 5.6 7.1 4.4 states/eV per cell.